# 1
First-principles (GGA-PBE) data for Pm4ZnGa12 after structural relaxation, as listed in the Alexandria database. Values from VASP.

- formation energy from the elements (eV/atom) = -0.515

```
&SYSTEM
  ibrav = 0, nat = 17, ntyp = 3
/
ATOMIC_SPECIES
Pm 145.00 Pm.upf
Zn 65.41 Zn.upf
Ga 69.72 Ga.upf
CELL_PARAMETERS angstrom
-4.412 4.412 4.412
4.412 -4.412 4.412
4.412 4.412 -4.412
ATOMIC_POSITIONS angstrom
Pm 2.206 2.206 -2.206
Pm 2.206 -2.206 2.206
Pm -2.206 2.206 2.206
Pm 2.206 2.206 2.206
Zn 0.000 0.000 0.000
Ga 2.682 0.000 0.000
Ga 6.142 0.000 0.000
Ga 4.412 2.206 0.000
Ga 4.412 0.000 2.206
Ga 0.000 2.682 0.000
Ga 0.000 0.000 2.682
Ga 2.206 4.412 0.000
Ga 2.206 0.000 4.412
Ga 0.000 6.142 0.000
Ga 0.000 0.000 6.142
Ga 0.000 4.412 2.206
Ga 0.000 2.206 4.412
```

***

# 2
First-principles (GGA-PBE) data for Hf2ScPdO after structural relaxation, as listed in the Alexandria database. Values from VASP.

- raw formation energy (eV per formula unit) = -6.5

```
&SYSTEM
  ibrav = 0, nat = 5, ntyp = 4
/
ATOMIC_SPECIES
Hf 178.49 Hf.upf
Sc 44.96 Sc.upf
Pd 106.42 Pd.upf
O 16.00 O.upf
CELL_PARAMETERS angstrom
4.378 0.000 0.000
0.000 4.378 0.000
0.000 0.000 4.340
ATOMIC_POSITIONS angstrom
Hf 0.000 2.189 0.000
Hf 2.189 0.000 0.000
Sc 0.000 0.000 2.170
Pd 2.189 2.189 2.170
O 0.000 0.000 0.000
```

***

# 3
First-principles (GGA-PBE) data for HfCuIr after structural relaxation, as listed in the Alexandria database. Values from VASP.

- ΔE to the lowest computed polymorph (eV/atom) = 0.1005
- formation energy from the elements (eV/atom) = -0.544

```
&SYSTEM
  ibrav = 0, nat = 3, ntyp = 3
/
ATOMIC_SPECIES
Hf 178.49 Hf.upf
Cu 63.55 Cu.upf
Ir 192.22 Ir.upf
CELL_PARAMETERS angstrom
-1.689 1.689 4.217
1.689 -1.689 4.217
1.689 1.689 -4.217
ATOMIC_POSITIONS angstrom
Hf 0.000 0.000 0.000
Cu 0.000 0.000 5.674
Ir 0.000 0.000 2.876
```

***

# 4
First-principles (GGA-PBE) data for HoNbTc2 after structural relaxation, as listed in the Alexandria database. Values from VASP.

- formation energy from the elements (eV/atom) = -0.119

```
&SYSTEM
  ibrav = 0, nat = 4, ntyp = 3
/
ATOMIC_SPECIES
Ho 164.93 Ho.upf
Nb 92.91 Nb.upf
Tc 98.00 Tc.upf
CELL_PARAMETERS angstrom
3.266 0.000 0.000
0.000 3.266 0.000
0.000 0.000 6.757
ATOMIC_POSITIONS angstrom
Ho 0.000 0.000 0.000
Nb 0.000 0.000 3.379
Tc 1.633 1.633 1.877
Tc 1.633 1.633 4.880
```

***

| no. | magnetic moment (μB/atom) |
| --- | --- |
| 1 | 0.00 |
| 2 | 0.00 |
| 3 | 0.00 |
| 4 | 0.00 |